# LaInSe2

LaInSe2 at its PBEsol-relaxed geometry (meta-GGA SCAN, Alexandria).

extended XYZ file:
```
4
Lattice="2.1856 1.2618 7.5894 -2.1856 1.2618 7.5894 0.0000 -2.5237 7.5894" Properties=species:S:1:pos:R:3 pbc="T T T"
La 0.0000 0.0000 0.0000
In 0.0000 0.0000 5.3871
Se 0.0000 0.0000 11.8794
Se 0.0000 0.0000 16.5245
```

Results
- E_form (uncorrected): -1151 meV/atom


# LaIn2TeSe

LaIn2TeSe at its PBEsol-relaxed geometry (meta-GGA SCAN, Alexandria).

extended XYZ file:
```
5
Lattice="6.2369 0.0000 0.0000 0.0000 6.2369 0.0000 0.0000 0.0000 5.3402" Properties=species:S:1:pos:R:3 pbc="T T T"
La 0.0000 0.0000 0.0000
In 0.0000 3.1184 0.0000
In 3.1184 0.0000 0.0000
Te 3.1184 3.1184 2.6701
Se 0.0000 0.0000 2.6701
```

Results
- E_form (uncorrected): 94 meV/atom


# LaIn2Si

LaIn2Si at its PBEsol-relaxed geometry (meta-GGA SCAN, Alexandria).

extended XYZ file:
```
4
Lattice="2.5086 -2.7724 0.0000 2.5086 2.7724 0.0000 0.0000 0.0000 6.9598" Properties=species:S:1:pos:R:3 pbc="T T T"
La 0.0000 0.0000 0.0000
In 0.0000 0.0000 3.7514
In 2.5086 0.0000 2.1591
Si 2.5086 0.0000 5.0819
```

Results
- E_form (uncorrected): -221 meV/atom


# LaInSi

LaInSi at its PBEsol-relaxed geometry (meta-GGA SCAN, Alexandria).

extended XYZ file:
```
3
Lattice="0.0000 3.5341 3.5341 3.5341 0.0000 3.5341 3.5341 3.5341 0.0000" Properties=species:S:1:pos:R:3 pbc="T T T"
La 0.0000 0.0000 0.0000
In 5.3012 5.3012 5.3012
Si 1.7671 1.7671 1.7671
```

Results
- E_form (uncorrected): 33 meV/atom


# La2InSi2

La2InSi2 at its PBEsol-relaxed geometry (meta-GGA SCAN, Alexandria).

extended XYZ file:
```
20
Lattice="7.5480 0.0000 0.0000 0.0000 14.7934 0.0000 0.0000 0.0000 4.3770" Properties=species:S:1:pos:R:3 pbc="T T T"
La 0.8333 3.2166 0.0000
La 1.8849 6.8790 0.0000
La 1.8891 14.2757 0.0000
La 2.9407 10.6133 0.0000
La 4.6073 4.1801 0.0000
La 5.6589 0.5177 0.0000
La 5.6631 7.9144 0.0000
La 6.7147 11.5768 0.0000
In 0.4998 9.2342 2.1885
In 3.2742 1.8375 2.1885
In 4.2738 12.9559 2.1885
In 7.0482 5.5592 2.1885
Si 0.3921 1.1191 2.1885
Si 1.3609 12.0652 2.1885
Si 2.4131 4.6685 2.1885
Si 3.3819 8.5158 2.1885
Si 4.1661 6.2776 2.1885
Si 5.1349 10.1249 2.1885
Si 6.1871 2.7282 2.1885
Si 7.1559 13.6743 2.1885
```

Results
- E_form (uncorrected): -753 meV/atom


# La2TaInSi

La2TaInSi at its PBEsol-relaxed geometry (meta-GGA SCAN, Alexandria).

extended XYZ file:
```
5
Lattice="5.5726 0.0000 0.0000 0.0000 5.5726 0.0000 0.0000 0.0000 4.8128" Properties=species:S:1:pos:R:3 pbc="T T T"
La 0.0000 2.7863 0.0000
La 2.7863 0.0000 0.0000
Ta 0.0000 0.0000 2.4064
In 2.7863 2.7863 2.4064
Si 2.7863 2.7863 0.0000
```

Results
- E_form (uncorrected): 660 meV/atom


# SrLaIn2

SrLaIn2 at its PBEsol-relaxed geometry (meta-GGA SCAN, Alexandria).

extended XYZ file:
```
4
Lattice="3.6120 0.0000 0.0000 0.0000 4.5964 0.0000 0.0000 0.0000 7.2913" Properties=species:S:1:pos:R:3 pbc="T T T"
Sr 0.0000 0.0000 0.0000
La 0.0000 0.0000 3.6457
In 1.8060 2.2982 1.9643
In 1.8060 2.2982 5.3270
```

Results
- DFT formation energy: -0.60 eV/atom


# SrLaIn2

SrLaIn2 at its PBEsol-relaxed geometry (meta-GGA SCAN, Alexandria).

extended XYZ file:
```
4
Lattice="3.9169 0.0000 0.0000 0.0000 5.4577 0.0000 0.0000 0.0000 5.6312" Properties=species:S:1:pos:R:3 pbc="T T T"
Sr 0.0000 0.0000 0.0000
La 0.0000 2.7288 2.4263
In 1.9585 0.0000 2.8716
In 1.9585 2.7288 5.1544
```

Results
- DFT formation energy: -0.62 eV/atom


# SrLaIn2

SrLaIn2 at its PBEsol-relaxed geometry (meta-GGA SCAN, Alexandria).

extended XYZ file:
```
4
Lattice="0.0000 3.9112 3.9112 3.9112 0.0000 3.9112 3.9112 3.9112 0.0000" Properties=species:S:1:pos:R:3 pbc="T T T"
Sr 0.0000 0.0000 0.0000
La 5.8668 5.8668 5.8668
In 1.9556 1.9556 1.9556
In 3.9112 3.9112 3.9112
```

Results
- DFT formation energy: -0.15 eV/atom


# Sr2LaIn

Sr2LaIn at its PBEsol-relaxed geometry (meta-GGA SCAN, Alexandria).

extended XYZ file:
```
4
Lattice="3.9530 0.0000 0.0000 0.0000 3.9530 0.0000 0.0000 0.0000 9.9969" Properties=species:S:1:pos:R:3 pbc="T T T"
Sr 0.0000 0.0000 0.0000
Sr 1.9765 1.9765 3.2669
La 1.9765 1.9765 7.1047
In 0.0000 0.0000 5.3328
```

Results
- DFT formation energy: -0.26 eV/atom


# SrLaIn2

SrLaIn2 at its PBEsol-relaxed geometry (meta-GGA SCAN, Alexandria).

extended XYZ file:
```
4
Lattice="6.3188 -1.9564 0.0000 6.3188 1.9564 0.0000 -2.3022 0.0000 4.8936" Properties=species:S:1:pos:R:3 pbc="T T T"
Sr 0.0000 0.0000 0.0000
La 9.2288 0.0000 1.3867
In 1.2869 0.0000 3.6137
In 5.6224 0.0000 2.6573
```

Results
- DFT formation energy: -0.52 eV/atom


# SrLaZr2In

SrLaZr2In at its PBEsol-relaxed geometry (meta-GGA SCAN, Alexandria).

extended XYZ file:
```
5
Lattice="5.1902 0.0000 0.0000 0.0000 5.1902 0.0000 0.0000 0.0000 6.0044" Properties=species:S:1:pos:R:3 pbc="T T T"
Sr 0.0000 0.0000 0.0000
La 2.5951 2.5951 3.0022
Zr 0.0000 2.5951 3.0022
Zr 2.5951 0.0000 3.0022
In 2.5951 2.5951 0.0000
```

Results
- DFT formation energy: 0.78 eV/atom